A geometry-optimized Ca3PmNi8 structure, computed with PBE-GGA.

## Properties
- formation enthalpy at 0 K (eV per atom) = -0.232
- space-group type = R3m, No. 160
- spin magnetization (Bohr magnetons per cell) = 0.0

```
Ca3PmNi8
1.0
-4.3948 -2.1317 -1.4816
-0.7449 -5.0106 0.6266
-4.9453 -0.9575 7.2543
Ca Pm Ni
3 1 8
Cartesian
-6.2629 -3.5125 6.0465
-4.9228 -0.9674 7.2017
-5.0665 -4.0394 3.2555
-6.3442 -6.6119 1.9546
-5.3693 -4.3693 0.2573
-6.0224 -6.2898 4.9135
-3.1844 -3.3094 0.9939
-8.2101 -7.3509 4.1759
-3.1295 -1.7571 3.0187
-8.1676 -5.8089 6.2081
-3.5547 -5.8005 1.3054
-7.8393 -4.8567 3.8640
```

A geometry-optimized CaPmNiRu structure, computed with PBE-GGA.

## Properties
- formation enthalpy at 0 K (eV per atom) = 0.001
- space-group type = F-43m, No. 216
- spin magnetization (Bohr magnetons per cell) = 0.0

```
CaPmNiRu
1.0
4.8639 0.0000 0.0000
2.4319 4.2122 0.0000
2.4319 1.4041 3.9713
Ru Ca Ni Pm
1 1 1 1
Cartesian
7.2958 4.2122 2.9785
0.0000 0.0000 0.0000
2.4319 1.4041 0.9928
4.8639 2.8082 1.9857
```

A geometry-optimized CaPmSiNi structure, computed with PBE-GGA.

## Properties
- formation energy without anion corrections (eV/f.u.) = -1.2
- space-group type = F-43m, No. 216
- spin magnetization (Bohr magnetons per cell) = 0.0

```
CaPmSiNi
1.0
4.9783 0.0000 0.0000
2.4892 4.3114 0.0000
2.4892 1.4371 4.0648
Ni Ca Si Pm
1 1 1 1
Cartesian
2.4892 1.4371 1.0162
0.0000 0.0000 0.0000
7.4675 4.3114 3.0486
4.9783 2.8742 2.0324
```

A geometry-optimized CaPmNiSn structure, computed with PBE-GGA.

## Properties
- formation enthalpy at 0 K (eV per atom) = -0.354
- space-group type = F-43m, No. 216
- spin magnetization (Bohr magnetons per cell) = 0.1

```
CaPmNiSn
1.0
-3.3136 -3.4928 1.9552
-1.8380 -3.8107 -3.0171
1.5467 -4.9004 0.7723
Ni Ca Sn Pm
1 1 1 1
Cartesian
0.0000 0.0000 0.0000
-0.9012 -3.0510 -0.0724
-1.8025 -6.1020 -0.1448
-2.7037 -9.1530 -0.2172
```

A geometry-optimized CaPmTlNi structure, computed with PBE-GGA.

## Properties
- formation enthalpy at 0 K (eV per atom) = -0.177
- space-group type = F-43m, No. 216
- spin magnetization (Bohr magnetons per cell) = 0.0

```
CaPmTlNi
1.0
-1.9692 -3.5755 -3.2483
3.1985 -3.0069 -2.8181
0.4656 -5.0748 1.1149
Ni Tl Ca Pm
1 1 1 1
Cartesian
0.8475 -5.8286 -2.4758
0.0000 0.0000 0.0000
1.2712 -8.7429 -3.7137
0.4237 -2.9143 -1.2379
```

A geometry-optimized CaPmZnNi structure, computed with PBE-GGA.

## Properties
- formation enthalpy at 0 K (eV per atom) = -0.200
- space-group type = F-43m, No. 216
- spin magnetization (Bohr magnetons per cell) = 0.0

```
CaPmZnNi
1.0
-3.7819 -1.9216 -2.6697
-1.3749 -4.7721 0.6775
-4.3602 -1.0589 2.2338
Ni Zn Ca Pm
1 1 1 1
Cartesian
0.0000 0.0000 0.0000
-4.7585 -3.8763 0.1208
-7.1378 -5.8144 0.1812
-2.3793 -1.9381 0.0604
```

A geometry-optimized CaPr2Ni2 structure, computed with PBE-GGA.

## Properties
- energy relative to the lowest polymorph listed for this composition (meV per atom) = 141
- formation enthalpy at 0 K (eV per atom) = -0.090
- space-group type = C2/m, No. 12
- spin magnetization (Bohr magnetons per cell) = 0.0

```
CaPr2Ni2
1.0
-1.2077 3.7781 0.0003
-4.4812 -1.4323 -2.8286
-1.2842 -2.4931 5.7509
Ca Pr Ni
1 2 2
Cartesian
0.0000 0.0000 0.0000
-3.2351 -1.0344 2.8851
-3.7381 0.8871 0.0375
-1.9781 1.4495 2.2967
-4.9951 -1.5969 0.6259
```

A geometry-optimized CaPr4Ni4 structure, computed with PBE-GGA.

## Properties
- formation enthalpy at 0 K (eV per atom) = -0.128
- space-group type = P4_2/n, No. 86
- spin magnetization (Bohr magnetons per cell) = 0.0

```
CaPr4Ni4
1.0
5.7389 0.0000 0.0000
0.0000 8.9296 0.0000
0.0000 0.0000 8.9296
Ca Pr Ni
2 8 8
Cartesian
0.0000 0.0000 0.0000
2.8694 4.4648 4.4648
2.3035 2.8248 8.1302
5.1730 5.2643 7.2896
2.3035 6.1048 0.7994
0.5659 1.6400 5.2643
3.4354 8.1302 6.1048
0.5659 7.2896 3.6654
5.1730 3.6654 1.6400
3.4354 0.7994 2.8248
3.5097 7.0004 3.2519
3.5097 1.9292 5.6777
0.6403 7.7167 6.3940
5.0986 2.5356 7.7167
5.0986 6.3940 1.2129
2.2292 3.2519 1.9292
2.2292 5.6777 7.0004
0.6403 1.2129 2.5356
```

A geometry-optimized Ca2Pr3Ni2 structure, computed with PBE-GGA.

## Properties
- formation enthalpy at 0 K (eV per atom) = -0.141
- space-group type = C2/m, No. 12
- spin magnetization (Bohr magnetons per cell) = 0.0

```
Ca2Pr3Ni2
1.0
3.7220 0.0000 1.0460
1.3943 6.2097 2.1837
-0.4181 -0.2983 8.6333
Ca Pr Ni
2 3 2
Cartesian
1.2035 2.8178 2.8629
3.4948 3.0936 9.0001
1.8610 0.0000 0.5230
2.3534 4.8659 5.9163
2.3448 1.0456 5.9467
1.5807 5.4705 8.6659
3.1175 0.4410 3.1970
```

A geometry-optimized CaPr2Ni structure, computed with PBE-GGA.

## Properties
- energy relative to the lowest polymorph listed for this composition (meV per atom) = 63
- formation enthalpy at 0 K (eV per atom) = -0.057
- space-group type = R-3m, No. 166
- spin magnetization (Bohr magnetons per cell) = 0.0

```
CaPr2Ni
1.0
3.9598 0.0000 0.0000
1.9799 3.4293 0.0000
1.9799 1.1431 9.8706
Pr Ni Ca
2 1 1
Cartesian
1.9799 1.1431 1.6331
5.9397 3.4293 8.2375
0.0000 0.0000 0.0000
3.9598 2.2862 4.9353
```

A geometry-optimized CaPr4Ni structure, computed with PBE-GGA.

## Properties
- formation enthalpy at 0 K (eV per atom) = -0.024
- space-group type = Immm, No. 71
- spin magnetization (Bohr magnetons per cell) = 0.0

```
CaPr4Ni
1.0
6.2960 0.0000 -0.5230
0.0000 7.5387 0.0000
-2.4431 -3.7694 8.7549
Ca Pr Ni
2 8 2
Cartesian
3.5762 3.7694 4.8931
0.2768 0.0000 3.3387
0.2493 3.7694 2.9993
0.5485 -1.8605 6.6066
0.0000 1.8488 0.0000
3.3044 1.9088 1.6252
3.6036 0.0000 5.2325
3.3044 5.6299 1.6252
0.0000 5.6900 0.0000
0.5485 1.8605 6.6066
-0.5221 0.0000 8.5950
4.3751 3.7694 -0.3631
```

A geometry-optimized CaPr2Ni structure, computed with PBE-GGA.

## Properties
- energy relative to the lowest polymorph listed for this composition (meV per atom) = 56
- formation enthalpy at 0 K (eV per atom) = -0.064
- space-group type = P4/mmm, No. 123
- spin magnetization (Bohr magnetons per cell) = 0.0

```
CaPr2Ni
1.0
3.5908 0.0000 0.0000
0.0000 3.5908 0.0000
0.0000 0.0000 9.5432
Pr Ni Ca
2 1 1
Cartesian
0.0000 0.0000 7.8944
0.0000 0.0000 1.6488
1.7954 1.7954 0.0000
1.7954 1.7954 4.7716
```

A geometry-optimized CaPr2Ni structure, computed with PBE-GGA.

## Properties
- energy relative to the lowest polymorph listed for this composition (meV per atom) = 22
- formation enthalpy at 0 K (eV per atom) = -0.098
- space-group type = Cmcm, No. 63
- spin magnetization (Bohr magnetons per cell) = 0.0

```
CaPr2Ni
1.0
3.8951 -0.0005 0.0000
-1.9482 6.2944 0.0000
0.0000 0.0000 9.7842
Ca Pr Ni
2 4 2
Cartesian
1.9468 5.2425 2.4460
0.0002 1.0514 7.3381
-0.0016 4.5250 5.5725
1.9486 1.7689 4.2117
-0.0016 4.5250 9.1038
1.9486 1.7689 0.6804
1.9466 3.4263 7.3381
0.0004 2.8675 2.4460
```

A geometry-optimized Ca3PrNi structure, computed with PBE-GGA.

## Properties
- formation enthalpy at 0 K (eV per atom) = 0.086
- space-group type = Pm-3m, No. 221
- spin magnetization (Bohr magnetons per cell) = 0.0

```
Ca3PrNi
1.0
5.5253 0.0000 0.0000
0.0000 5.5253 0.0000
0.0000 0.0000 5.5253
Pr Ni Ca
1 1 3
Cartesian
2.7626 2.7626 2.7626
0.0000 0.0000 0.0000
0.0000 2.7626 0.0000
0.0000 0.0000 2.7626
2.7626 0.0000 0.0000
```

A geometry-optimized CaPr2Ni6 structure, computed with PBE-GGA.

## Properties
- formation enthalpy at 0 K (eV per atom) = -0.232
- space-group type = P6/mmm, No. 191
- spin magnetization (Bohr magnetons per cell) = 0.0

```
CaPr2Ni6
1.0
-0.2485 4.0270 -0.1230
-4.4187 -0.4355 -5.3324
-2.4092 0.0500 6.5071
Ca Pr Ni
1 2 6
Cartesian
-2.4092 0.0500 6.5071
-3.0790 -0.1118 2.5606
-3.9974 3.7534 -1.5088
-2.4004 1.8850 0.3301
-4.6760 1.7566 0.7217
-1.7303 2.0469 4.2764
-5.4791 1.7732 2.8908
-1.5972 1.8684 -1.8390
-5.3461 1.5947 -3.2247
```

A geometry-optimized CaPr2Ni2 structure, computed with PBE-GGA.

## Properties
- energy relative to the lowest polymorph listed for this composition (meV per atom) = 0
- formation enthalpy at 0 K (eV per atom) = -0.231
- space-group type = Cmmm, No. 65
- spin magnetization (Bohr magnetons per cell) = 0.0

```
CaPr2Ni2
1.0
-3.8674 -0.4858 0.1192
0.3843 -2.2001 3.5001
-0.9132 7.9099 2.6096
Ca Pr Ni
1 2 2
Cartesian
0.0000 0.0000 0.0000
-1.9674 0.7906 3.1756
-2.4288 4.4334 3.0533
-0.2930 2.7670 1.7714
-0.2359 2.9428 4.3382
```

A geometry-optimized CaPr2Ni structure, computed with PBE-GGA.

## Properties
- energy relative to the lowest polymorph listed for this composition (meV per atom) = 0
- formation enthalpy at 0 K (eV per atom) = -0.120
- space-group type = Pnma, No. 62
- spin magnetization (Bohr magnetons per cell) = 0.0

```
CaPr2Ni
1.0
-0.0829 -6.4444 0.3675
6.4896 0.1026 3.2640
-4.5594 0.5746 9.0472
Ca Pr Ni
4 8 4
Cartesian
2.2895 -3.9731 4.2515
-0.9723 -5.3473 2.6949
-0.4422 -1.7941 8.4272
2.8196 -0.4199 9.9837
4.0388 -1.0139 2.8681
-0.8828 -1.8345 4.5940
-0.5273 -4.9631 6.5085
1.0659 -3.7230 11.3867
-2.1915 -4.7534 9.8106
2.7301 -3.9328 8.0846
2.3746 -0.8042 6.1702
0.7813 -2.0442 1.2919
1.3790 -0.4090 3.5663
4.5976 -2.3947 5.3145
0.4683 -5.3582 9.1123
-2.7503 -3.3725 7.3642
```

A geometry-optimized Ca3PrNi8 structure, computed with PBE-GGA.

## Properties
- formation enthalpy at 0 K (eV per atom) = -0.218
- space-group type = R3m, No. 160
- spin magnetization (Bohr magnetons per cell) = 0.0

```
Ca3PrNi8
1.0
5.1156 0.0000 0.0000
2.5578 4.4302 0.0000
2.5578 1.4767 8.3492
Ca Pr Ni
3 1 8
Cartesian
5.1156 2.9535 7.3294
2.5578 1.4767 8.2848
5.1156 2.9535 4.2441
7.6734 4.4302 3.1097
6.3887 2.2184 1.5614
6.3968 5.1672 5.7406
3.8425 2.2184 1.5614
8.9499 5.1672 5.7406
2.5578 1.4767 3.6643
7.6734 4.4302 7.8191
5.1156 4.4235 1.5614
7.6734 2.9562 5.7406
```

A geometry-optimized Ca3PrNi2 structure, computed with PBE-GGA.

## Properties
- formation enthalpy at 0 K (eV per atom) = -0.153
- space-group type = C2/m, No. 12
- spin magnetization (Bohr magnetons per cell) = 0.0

```
Ca3PrNi2
1.0
3.9350 0.0000 0.7930
1.6226 8.3598 2.1078
-0.0617 0.2028 10.4650
Ca Pr Ni
6 2 4
Cartesian
2.0913 7.9746 9.9411
3.4046 0.5880 3.4247
1.9423 2.1592 10.6804
3.5536 6.4034 2.6854
2.7077 2.3512 6.8825
2.7881 6.2114 6.4833
4.1735 5.0192 9.7683
1.3224 3.5434 3.5975
1.8109 5.0064 11.3324
3.6850 3.5562 2.0334
4.4772 7.8423 8.2612
1.0186 0.7204 5.1046
```

A geometry-optimized CaPr2Ni structure, computed with PBE-GGA.

## Properties
- energy relative to the lowest polymorph listed for this composition (meV per atom) = 64
- formation enthalpy at 0 K (eV per atom) = -0.056
- space-group type = R3m, No. 160
- spin magnetization (Bohr magnetons per cell) = 0.0

```
CaPr2Ni
1.0
4.0109 0.0000 0.0000
2.0054 3.4735 0.0000
2.0054 1.1578 9.7038
Ca Pr Ni
1 2 1
Cartesian
4.0109 2.3157 4.8196
2.0054 1.1578 8.1254
2.0054 1.1578 1.5937
4.0109 2.3157 0.0170
```

A geometry-optimized CaPrNi10 structure, computed with PBE-GGA.

## Properties
- formation enthalpy at 0 K (eV per atom) = -0.183
- space-group type = Pmmm, No. 47
- spin magnetization (Bohr magnetons per cell) = 3.5

```
CaPrNi10
1.0
-1.3292 -2.1679 3.0279
1.4779 -4.1320 -2.3096
7.6646 0.6148 3.8048
Ca Pr Ni
1 1 10
Cartesian
0.0000 0.0000 0.0000
4.5713 -1.7586 0.7476
2.5325 0.2031 1.2572
7.1455 -1.5521 2.0254
1.9970 -1.9651 -0.5303
5.1321 0.4116 2.5476
3.1677 -0.7766 3.4163
0.0744 -3.1499 0.3592
1.6134 -1.9644 1.8835
6.2000 -3.7207 2.6395
2.3519 -4.0293 0.7293
5.4614 -1.6558 3.7937
```

A geometry-optimized CaPrNiRh structure, computed with PBE-GGA.

## Properties
- energy relative to the lowest polymorph listed for this composition (meV per atom) = 93
- formation enthalpy at 0 K (eV per atom) = -0.298
- space-group type = F-43m, No. 216
- spin magnetization (Bohr magnetons per cell) = 0.0

```
CaPrNiRh
1.0
-2.2117 -1.3031 4.2228
1.3088 -4.1807 2.2870
2.4986 0.1915 4.2593
Pr Ni Ca Rh
1 1 1 1
Cartesian
0.7978 -2.6461 5.3846
0.3989 -1.3231 2.6923
0.0000 0.0000 0.0000
1.1967 -3.9692 8.0769
```

A geometry-optimized CaPrNiRh structure, computed with PBE-GGA.

## Properties
- energy relative to the lowest polymorph listed for this composition (meV per atom) = 0
- formation enthalpy at 0 K (eV per atom) = -0.392
- space-group type = Amm2, No. 38
- spin magnetization (Bohr magnetons per cell) = 0.0

```
CaPrNiRh
1.0
4.0987 0.0000 0.0000
0.0000 4.1607 0.0000
-2.0494 0.0000 5.3412
Ca Pr Ni Rh
1 1 1 1
Cartesian
0.0000 0.0000 1.5221
2.0494 2.0803 3.8180
2.0494 2.0803 0.7056
0.0000 0.0000 4.6367
```

A geometry-optimized CaPrZnNi structure, computed with PBE-GGA.

## Properties
- energy relative to the lowest polymorph listed for this composition (meV per atom) = 0
- formation enthalpy at 0 K (eV per atom) = -0.247
- space-group type = Amm2, No. 38
- spin magnetization (Bohr magnetons per cell) = 0.0

```
CaPrZnNi
1.0
-3.7670 1.5148 0.2637
0.1731 -0.2735 4.0431
4.0926 4.6886 0.1419
Ca Pr Zn Ni
1 1 1 1
Cartesian
0.6478 1.5970 0.0803
-0.1992 4.5595 2.3514
-1.5182 1.3077 2.1879
1.8940 4.6691 0.2347
```

A geometry-optimized CaPrZnNi structure, computed with PBE-GGA.

## Properties
- energy relative to the lowest polymorph listed for this composition (meV per atom) = 55
- formation enthalpy at 0 K (eV per atom) = -0.192
- space-group type = F-43m, No. 216
- spin magnetization (Bohr magnetons per cell) = 0.0

```
CaPrZnNi
1.0
-2.1124 1.7730 4.2384
-0.4270 -2.9910 4.0548
2.8575 0.8536 4.0836
Pr Ni Zn Ca
1 1 1 1
Cartesian
0.2385 -0.2733 9.2826
0.1590 -0.1822 6.1884
0.0000 0.0000 0.0000
0.0795 -0.0911 3.0942
```

A geometry-optimized CaNiPt structure, computed with PBE-GGA.

## Properties
- formation enthalpy at 0 K (eV per atom) = -0.514
- space-group type = P-6m2, No. 187
- spin magnetization (Bohr magnetons per cell) = 0.1

```
CaNiPt
1.0
4.1480 0.0000 0.0000
-2.0740 3.5922 0.0000
0.0000 0.0000 4.0250
Ni Ca Pt
1 1 1
Cartesian
0.0000 2.3948 2.0121
0.0000 0.0000 0.0002
2.0740 1.1974 2.0123
```